Record 1
Here is a geometry-optimized Li7Cd4Pd structure from Alexandria via LeMat-Bulk. Energies are from GGA-PBE.

a b c (Å): 7.2879 7.2879 7.3375
angles (deg): 115.38 115.38 38.54
Last column: nearest neighbours and their distance in Å.
Fractional coordinates of all 12 atoms:
Li (0.0000, 0.0000, 0.0000)  2 Pd 2.41, 2 Cd 2.67
Li (0.2922, 0.2922, 0.1602)  4 Li 2.64-2.95, 3 Cd 2.86-2.92
Li (0.3040, 0.3040, 0.8104)  1 Pd 2.41, 1 Li 2.64
Li (0.4361, 0.4361, 0.6050)  1 Pd 2.62, 2 Cd 2.81, 2 Li 2.81-2.84
Li (0.5639, 0.5639, 0.3950)  1 Pd 2.62, 2 Cd 2.81, 2 Li 2.81-2.84
Li (0.6960, 0.6960, 0.1896)  1 Pd 2.41, 1 Li 2.64
Li (0.7078, 0.7078, 0.8398)  4 Li 2.64-2.95, 3 Cd 2.86-2.92
Cd (0.0813, 0.0813, 0.7320)  4 Li 2.67-2.86
Cd (0.1705, 0.1705, 0.3995)  7 Li 2.73-2.96
Cd (0.8295, 0.8295, 0.6006)  7 Li 2.73-2.96
Cd (0.9187, 0.9187, 0.2680)  4 Li 2.67-2.86
Pd (0.5000, 0.5000, 0.0000)  6 Li 2.41-2.62

Summary:
As for the space-group type: C2/m. The calculation puts the formation energy at -188 kJ/mol of formula units. For the energy, the calculation gives -24.20 eV/cell.

=====

Record 2
Here is a geometry-optimized Si3Cl structure from Alexandria via LeMat-Bulk. Energies are from GGA-PBE.

a b c (Å): 2.7664 4.8634 5.4974
angles (deg): 90.00 90.00 90.00
Last column: nearest neighbours and their distance in Å.
Fractional coordinates of all 4 atoms:
Si (0.0000, 0.0000, 0.0000)  2 Cl 2.43
Si (0.5000, 0.2420, 0.5000)  2 Si 2.35-2.51
Si (0.5000, 0.7580, 0.5000)  2 Si 2.35-2.51
Cl (0.0000, 0.5000, 0.0000)  2 Si 2.43

Summary:
The calculation puts the distance to the lowest polymorph of the same formula at 0.440 eV/atom. As for the space-group type: Pmmm. For the energy, the calculation gives -15.75 eV/cell.

=====

Record 3
Here is a geometry-optimized AlSe2I structure from Alexandria via LeMat-Bulk. Energies are from GGA-PBE.

a b c (Å): 8.5224 8.5224 8.5224
angles (deg): 26.57 26.57 26.57
Last column: nearest neighbours and their distance in Å.
Fractional coordinates of all 4 atoms:
Al (0.0000, 0.0000, 0.0000)  6 Se 2.62
Se (0.3868, 0.3868, 0.3868)  3 Al 2.62, 1 I 2.79
Se (0.6132, 0.6132, 0.6132)  3 Al 2.62, 1 I 2.79
I (0.5000, 0.5000, 0.5000)  2 Se 2.79

Summary:
The calculation puts the distance to the lowest polymorph of the same formula at 0.000 eV/atom. As for the space-group type: R-3m. For the energy, the calculation gives -14.01 eV/cell.

=====

Question: Which of these has the lowest energy?
Answer: Li7Cd4Pd

=====

Question: The lowest energy belongs to which entry?
Answer: Li7Cd4Pd